# PBE with a Hubbard U Li5Co2Ni5O12, relaxed
# - magnetic moment (μB per formula unit) = 9.0
# - space group = C2
# - VASP energy (eV/atom) = -5.1199
data_Li5Co2Ni5O12
_cell_length_a 5.015
_cell_length_b 5.047
_cell_length_c 9.614
_cell_angle_alpha 94.83
_cell_angle_beta 80.27
_cell_angle_gamma 119.81
_symmetry_space_group_name_H-M 'P 1'
_symmetry_Int_Tables_number 1
loop_
_symmetry_equiv_pos_as_xyz
'x,y,z'
loop_
_atom_site_label
_atom_site_fract_x
_atom_site_fract_y
_atom_site_fract_z
Li1 0.161 0.831 0.001
Li2 0.670 0.831 0.499
Li3 0.086 0.172 0.250
Li4 0.335 0.175 0.497
Li5 0.840 0.175 0.003
Co1 0.248 0.497 0.750
Co2 0.753 0.506 0.250
Ni1 0.003 0.496 0.497
Ni2 0.493 0.497 0.003
Ni3 0.423 0.846 0.250
Ni4 0.917 0.834 0.750
Ni5 0.580 0.160 0.750
O1 0.028 0.804 0.370
O2 0.283 0.807 0.632
O3 0.116 0.520 0.136
O4 0.776 0.804 0.130
O5 0.524 0.807 0.868
O6 0.404 0.520 0.364
O7 0.608 0.494 0.637
O8 0.487 0.197 0.133
O9 0.886 0.495 0.863
O10 0.215 0.188 0.870
O11 0.709 0.196 0.367
O12 0.973 0.188 0.630